Record 1
Density functional theory data (PBE-GGA) for a geometry-optimized Al2OsRu structure.

Total energy: -7.2382 eV/atom
Crystal system: monoclinic
E_form: -23.21 kJ/mol of atoms

Lattice parameters (Å, degrees): 4.033 2.787 5.082 85.31 90.00 90.00
Positions (direct):
Al  0.000  0.989  0.999
Al  0.000  0.511  0.501
Os  0.500  0.250  0.250
Ru  0.500  0.750  0.750

---

Record 2
Density functional theory data (PBE-GGA) for a geometry-optimized LiErGe structure.

Excess energy over the best structure of this formula in the dataset: 47 meV/atom
Total energy: -4.3632 eV/atom
Crystal system: tetragonal
E_form: -64.18 kJ/mol of atoms

Lattice parameters (Å, degrees): 4.134 4.134 7.057 90.00 90.00 90.00
Positions (direct):
Er  0.000  0.500  0.836
Er  0.500  0.000  0.164
Li  0.500  0.500  0.500
Li  0.000  0.000  0.500
Ge  0.000  0.500  0.253
Ge  0.500  0.000  0.747

---

Record 3
Density functional theory data (PBE-GGA) for a geometry-optimized CaFe2Ir structure.

Total energy: -6.5895 eV/atom
Crystal system: tetragonal
E_form: 34.49 kJ/mol of atoms

Lattice parameters (Å, degrees): 4.480 4.480 4.480 119.71 119.71 90.50
Each line ends with the local moment (μB).
Positions (direct):
Fe  0.000  0.000  0.000  2.67
Fe  0.250  0.750  0.500  2.94
Ca  0.750  0.250  0.500  -0.05
Ir  0.500  0.500  0.000  0.56

---

Record 4
Density functional theory data (PBE-GGA) for a geometry-optimized TaCu2Te structure.

Total energy: -5.3455 eV/atom
Formation energy from raw total energies: 0.451 eV/atom
Crystal system: cubic

Lattice parameters (Å, degrees): 4.577 4.577 4.577 60.00 60.00 60.00
Positions (direct):
Cu  0.250  0.250  0.250
Cu  0.000  0.000  0.000
Ta  0.500  0.500  0.500
Te  0.750  0.750  0.750

---

Record 5
Density functional theory data (PBE-GGA) for a geometry-optimized SrTl6Ag6 structure.

Total energy: -2.5677 eV/atom
Crystal system: orthorhombic
E_form: -2.92 kJ/mol of atoms

Lattice parameters (Å, degrees): 5.969 7.842 7.842 82.76 67.63 67.63
Positions (direct):
Tl  0.000  0.651  0.349
Tl  0.686  0.814  0.814
Tl  0.346  0.654  0.654
Tl  0.314  0.186  0.186
Tl  0.654  0.346  0.346
Tl  0.000  0.349  0.651
Ag  0.500  0.767  0.233
Ag  0.500  0.233  0.767
Ag  0.500  0.000  0.500
Ag  0.000  0.500  0.000
Ag  0.000  0.000  0.500
Ag  0.500  0.500  0.000
Sr  0.000  0.000  0.000

---

Record 6
Density functional theory data (PBE-GGA) for a geometry-optimized AlReAs2 structure.

Excess energy over the best structure of this formula in the dataset: 100 meV/atom
Total energy: -6.2394 eV/atom
Crystal system: tetragonal
E_form: 12.83 kJ/mol of atoms

Lattice parameters (Å, degrees): 3.071 3.071 7.066 90.00 90.00 90.00
Positions (direct):
Al  0.500  0.500  0.750
As  0.000  0.000  0.033
As  0.000  0.000  0.467
Re  0.500  0.500  0.250

---

Record 7
Density functional theory data (PBE-GGA) for a geometry-optimized NpMnPt6 structure.

Total energy: -7.7774 eV/atom
Crystal system: tetragonal
E_form: -46.60 kJ/mol of atoms

Lattice parameters (Å, degrees): 4.058 5.717 5.717 89.99 90.00 90.00
Each line ends with the local moment (μB).
Positions (direct):
Pt  0.500  0.500  0.000  -0.03
Pt  0.000  0.746  0.746  -0.03
Pt  0.000  0.746  0.254  -0.03
Pt  0.000  0.254  0.746  -0.03
Pt  0.500  0.000  0.500  -0.03
Pt  0.000  0.254  0.254  -0.03
Mn  0.500  0.500  0.500  3.96
Np  0.500  0.000  0.000  2.88

---

Record 8
Density functional theory data (PBE-GGA) for a geometry-optimized AgBBr3 structure.

Excess energy over the best structure of this formula in the dataset: 0 meV/atom
Total energy: -3.2524 eV/atom
Formation energy from raw total energies: -0.343 eV/atom
Crystal system: monoclinic

Lattice parameters (Å, degrees): 6.712 7.192 11.775 90.00 91.82 90.00
Positions (direct):
B  0.457  0.566  0.055
B  0.957  0.934  0.555
B  0.543  0.434  0.945
B  0.043  0.066  0.445
Br  0.758  0.732  0.507
Br  0.258  0.768  0.007
Br  0.337  0.404  0.182
Br  0.742  0.232  0.993
Br  0.303  0.292  0.864
Br  0.663  0.596  0.818
Br  0.697  0.708  0.136
Br  0.197  0.792  0.636
Br  0.163  0.904  0.318
Br  0.242  0.268  0.493
Br  0.803  0.208  0.364
Br  0.837  0.096  0.682
Ag  0.940  0.399  0.174
Ag  0.060  0.601  0.826
Ag  0.440  0.101  0.674
Ag  0.560  0.899  0.326

---

Repeat the fifth record exactly.
Density functional theory data (PBE-GGA) for a geometry-optimized SrTl6Ag6 structure.

Total energy: -2.5677 eV/atom
Crystal system: orthorhombic
E_form: -2.92 kJ/mol of atoms

Lattice parameters (Å, degrees): 5.969 7.842 7.842 82.76 67.63 67.63
Positions (direct):
Tl  0.000  0.651  0.349
Tl  0.686  0.814  0.814
Tl  0.346  0.654  0.654
Tl  0.314  0.186  0.186
Tl  0.654  0.346  0.346
Tl  0.000  0.349  0.651
Ag  0.500  0.767  0.233
Ag  0.500  0.233  0.767
Ag  0.500  0.000  0.500
Ag  0.000  0.500  0.000
Ag  0.000  0.000  0.500
Ag  0.500  0.500  0.000
Sr  0.000  0.000  0.000

---

Copy entry 3 word for word.
Density functional theory data (PBE-GGA) for a geometry-optimized CaFe2Ir structure.

Total energy: -6.5895 eV/atom
Crystal system: tetragonal
E_form: 34.49 kJ/mol of atoms

Lattice parameters (Å, degrees): 4.480 4.480 4.480 119.71 119.71 90.50
Each line ends with the local moment (μB).
Positions (direct):
Fe  0.000  0.000  0.000  2.67
Fe  0.250  0.750  0.500  2.94
Ca  0.750  0.250  0.500  -0.05
Ir  0.500  0.500  0.000  0.56

---

What did the fourth record say?
Density functional theory data (PBE-GGA) for a geometry-optimized TaCu2Te structure.

Total energy: -5.3455 eV/atom
Formation energy from raw total energies: 0.451 eV/atom
Crystal system: cubic

Lattice parameters (Å, degrees): 4.577 4.577 4.577 60.00 60.00 60.00
Positions (direct):
Cu  0.250  0.250  0.250
Cu  0.000  0.000  0.000
Ta  0.500  0.500  0.500
Te  0.750  0.750  0.750